(1)
Entry from Alexandria via LeMat-Bulk: crystalline CdInRuRh at its relaxed geometry (GGA-PBE).

Cell: 4.569 4.569 4.569 Å, 60.00 60.00 60.00°
Fractional positions:
Ru  0.250  0.250  0.250
Cd  0.500  0.500  0.500
Rh  0.750  0.750  0.750
In  0.000  0.000  0.000

The formation energy from the elements comes out at 0.014 eV per atom. The calculation puts the density of states at the Fermi level at 7.045 states/eV/cell. Its space group is F-43m, No. 216. Its volume is 16.86 Å³/atom. The value obtained for the magnetic moment is 0.01 μB/cell.

(2)
Entry from Alexandria via LeMat-Bulk: crystalline LiEr2V at its relaxed geometry (GGA-PBE).

Cell: 3.212 3.212 11.262 Å, 81.80 81.80 60.00°
Each line ends with the local moment (μB).
Fractional positions:
V  0.000  0.000  0.000  -2.46
Li  0.500  0.500  0.500  -0.01
Er  0.084  0.084  0.749  -0.09
Er  0.916  0.916  0.251  -0.09

The formation energy from the elements comes out at 0.653 eV per atom. The calculation puts the density of states at the Fermi level at 5.497 states/eV/cell. Its space group is R-3m, No. 166. Its volume is 24.81 Å³/atom. The value obtained for the magnetic moment is 3.03 μB/cell.

(3)
Entry from Alexandria via LeMat-Bulk: crystalline YInNi17 at its relaxed geometry (GGA-PBE).

Cell: 6.226 6.226 6.226 Å, 82.89 82.89 82.89°
Each line ends with the local moment (μB).
Fractional positions:
Y  0.660  0.660  0.660  -0.09
In  0.344  0.344  0.344  -0.02
Ni  0.293  0.001  0.704  0.47
Ni  0.704  0.293  0.001  0.47
Ni  0.001  0.704  0.293  0.47
Ni  0.293  0.704  0.001  0.47
Ni  0.001  0.293  0.704  0.47
Ni  0.704  0.001  0.293  0.47
Ni  0.343  0.858  0.343  0.51
Ni  0.343  0.343  0.858  0.51
Ni  0.858  0.343  0.343  0.51
Ni  0.647  0.163  0.647  0.46
Ni  0.647  0.647  0.163  0.46
Ni  0.163  0.647  0.647  0.46
Ni  0.993  0.507  0.993  0.53
Ni  0.993  0.993  0.507  0.53
Ni  0.507  0.993  0.993  0.53
Ni  0.903  0.903  0.903  0.43
Ni  0.103  0.103  0.103  0.45

The formation energy from the elements comes out at -0.066 eV per atom. The calculation puts the density of states at the Fermi level at 27.223 states/eV/cell. Its space group is R3m, No. 160. Its volume is 12.43 Å³/atom. The value obtained for the magnetic moment is 7.53 μB/cell.

(4)
Entry from Alexandria via LeMat-Bulk: crystalline YTlZn2 at its relaxed geometry (GGA-PBE).

Cell: 4.976 4.976 4.976 Å, 60.00 60.00 60.00°
Fractional positions:
Tl  0.500  0.500  0.500
Y  0.750  0.750  0.750
Zn  0.000  0.000  0.000
Zn  0.250  0.250  0.250

The formation energy from the elements comes out at -0.129 eV per atom. The calculation puts the density of states at the Fermi level at 0.291 states/eV/cell. Its space group is F-43m, No. 216. Its volume is 21.78 Å³/atom. The value obtained for the magnetic moment is 0.00 μB/cell.

(5)
Entry from Alexandria via LeMat-Bulk: crystalline Ni3IrRh2 at its relaxed geometry (GGA-PBE).

Cell: 5.218 5.146 7.501 Å, 110.06 121.05 90.00°
Each line ends with the local moment (μB).
Fractional positions:
Ni  0.750  0.499  0.000  0.54
Ni  0.250  0.501  0.000  0.54
Ni  0.735  0.905  0.311  0.23
Ni  0.235  0.406  0.311  0.23
Ni  0.765  0.594  0.689  0.23
Ni  0.265  0.095  0.689  0.23
Ir  0.250  0.002  0.000  0.09
Ir  0.750  0.998  0.000  0.09
Rh  0.265  0.578  0.683  0.23
Rh  0.735  0.422  0.317  0.23
Rh  0.235  0.895  0.317  0.23
Rh  0.765  0.105  0.683  0.23

The formation energy from the elements comes out at 0.153 eV per atom. The calculation puts the density of states at the Fermi level at 19.377 states/eV/cell. Its space group is C2/c, No. 15. Its volume is 13.18 Å³/atom. The value obtained for the magnetic moment is 2.98 μB/cell.

(6)
Entry from Alexandria via LeMat-Bulk: crystalline Sr3Ga3Ni2 at its relaxed geometry (GGA-PBE).

Cell: 6.197 8.065 15.365 Å, 90.00 90.00 90.00°
Fractional positions:
Sr  0.126  0.460  0.394
Sr  0.626  0.040  0.606
Sr  0.874  0.540  0.894
Sr  0.374  0.960  0.106
Sr  0.874  0.540  0.606
Sr  0.374  0.960  0.394
Sr  0.126  0.460  0.106
Sr  0.626  0.040  0.894
Sr  0.624  0.311  0.250
Sr  0.124  0.189  0.750
Sr  0.376  0.689  0.750
Sr  0.876  0.811  0.250
Ga  0.085  0.159  0.250
Ga  0.585  0.341  0.750
Ga  0.915  0.841  0.750
Ga  0.415  0.659  0.250
Ga  0.620  0.332  0.460
Ga  0.120  0.168  0.540
Ga  0.380  0.668  0.960
Ga  0.880  0.832  0.040
Ga  0.380  0.668  0.540
Ga  0.880  0.832  0.460
Ga  0.620  0.332  0.040
Ga  0.120  0.168  0.960
Ni  0.888  0.122  0.407
Ni  0.388  0.378  0.593
Ni  0.112  0.878  0.907
Ni  0.612  0.622  0.093
Ni  0.112  0.878  0.593
Ni  0.612  0.622  0.407
Ni  0.888  0.122  0.093
Ni  0.388  0.378  0.907

The formation energy from the elements comes out at -0.326 eV per atom. The calculation puts the density of states at the Fermi level at 25.859 states/eV/cell. Its space group is Pnma, No. 62. Its volume is 24.00 Å³/atom. The value obtained for the magnetic moment is 0.00 μB/cell.